No. 1
Computed, not measured: crystalline NiPd3Pt4 at its relaxed geometry at the GGA-PBE level of DFT.

Results
crystal system: monoclinic
magnetization: 0.9 μB per formula unit
final energy: -0.1999 Ha/atom
formation energy from the elements: 250 meV/atom
SG: C2/m (12)
polymorph energy (0 for the lowest one): 0.287 eV per atom

POSCAR file:
```
NiPd3Pt4
1.0
10.6172 -1.3483 0.0000
10.6172 1.3483 0.0000
-0.1309 0.0000 4.6153
Ni Pd Pt
1 3 4
direct
0.0000 0.0000 0.0000 Ni
0.2267 0.2267 0.7457 Pd
0.5000 0.5000 0.5000 Pd
0.7733 0.7733 0.2543 Pd
0.1000 0.1000 0.7290 Pt
0.1559 0.1559 0.2339 Pt
0.8441 0.8441 0.7661 Pt
0.9000 0.9000 0.2710 Pt
```

No. 2
Computed, not measured: crystalline Dy6CuRh5 at its relaxed geometry at the GGA-PBE level of DFT.

Results
crystal system: monoclinic
magnetization: 0.0 μB per formula unit
final energy: -0.2382 Ha/atom
formation energy from the elements: -775 meV/atom
SG: P2/m (10)

POSCAR file:
```
Dy6CuRh5
1.0
4.8378 0.0000 0.0000
0.0000 6.9229 0.0000
-2.3926 0.0000 7.2680
Dy Cu Rh
6 1 5
direct
0.0000 0.2473 0.0000 Dy
0.0000 0.7527 0.0000 Dy
0.3318 0.2497 0.6641 Dy
0.3318 0.7503 0.6641 Dy
0.6682 0.2497 0.3359 Dy
0.6682 0.7503 0.3359 Dy
0.5000 0.5000 0.0000 Cu
0.1656 0.5000 0.3303 Rh
0.1679 0.0000 0.3355 Rh
0.5000 0.0000 0.0000 Rh
0.8321 0.0000 0.6645 Rh
0.8344 0.5000 0.6697 Rh
```

No. 3
Computed, not measured: crystalline CaLaZr2 at its relaxed geometry at the GGA-PBE level of DFT.

Results
crystal system: monoclinic
magnetization: 0.0 μB per formula unit
final energy: -0.2112 Ha/atom
formation energy from the elements: 260 meV/atom
SG: Cm (8)
polymorph energy (0 for the lowest one): 0.094 eV per atom

POSCAR file:
```
CaLaZr2
1.0
5.3899 -1.6506 0.0000
5.3899 1.6506 0.0000
-0.6101 0.0000 6.6149
Ca La Zr
1 1 2
direct
0.0000 0.0000 0.0000 Ca
0.2417 0.2417 0.7112 La
0.4916 0.4916 0.4446 Zr
0.7561 0.7561 0.2801 Zr
```

No. 4
Computed, not measured: crystalline CeYRuBr at its relaxed geometry at the GGA-PBE level of DFT.

Results
crystal system: trigonal
magnetization: 0.3 μB per formula unit
final energy: -0.2442 Ha/atom
raw formation energy: -0.81 eV/atom
SG: R3m (160)

POSCAR file:
```
CeYRuBr
1.0
1.9763 1.1410 7.8380
-1.9763 1.1410 7.8380
0.0000 -2.2820 7.8380
Ce Y Ru Br
1 1 1 1
direct
0.0000 0.0000 0.0000 Ce
0.2033 0.2033 0.2033 Y
0.6099 0.6099 0.6099 Ru
0.4393 0.4393 0.4393 Br
```